Entry from Alexandria: an optimized crystal structure of TlCu3F8 (PBE-GGA).

The space group is P-1 (No. 2) and the conventional cell measures 5.2133, 5.8182 and 7.1539 Å, with angles of 113.32, 91.26 and 108.78 degrees. Symmetry generates all atoms from Tl at (0.0000, 0.0000, 0.0000), Cu at (0.0000, 0.0000, 0.5000), Cu at (0.3191, 0.6709, 0.5512), F at (0.0070, 0.6430, 0.3742), F at (0.2096, 0.7798, 0.0285), F at (0.2525, 0.0194, 0.7223) and F at (0.3473, 0.3291, 0.3198).

The uncorrected formation energy is -140 kJ/mol of atoms. For the energy relative to the lowest polymorph listed for this composition, the calculation gives 0 meV per atom.

---

Entry from Alexandria: an optimized crystal structure of Tl3CuF (PBE-GGA).

The space group is Pm-3m (No. 221) and the conventional cell measures 5.1814, 5.1814 and 5.1814 Å, with angles of 90.00, 90.00 and 90.00 degrees. Symmetry generates all atoms from Tl at (0.0000, 0.0000, 0.5000), Cu at (0.5000, 0.5000, 0.5000) and F at (0.0000, 0.0000, 0.0000).

The uncorrected formation energy is -26 kJ/mol of atoms. For the energy relative to the lowest polymorph listed for this composition, the calculation gives 25 meV per atom.

---

Entry from Alexandria: an optimized crystal structure of Tl3Cu2F7 (PBE-GGA).

The space group is Cmmm (No. 65) and the conventional cell measures 4.1835, 22.8204 and 4.1327 Å, with angles of 90.00, 90.00 and 90.00 degrees. Symmetry generates all atoms from Tl at (0.0000, 0.0000, 0.0000), Tl at (0.0000, 0.1804, 0.0000), Cu at (0.0000, 0.4095, 0.5000), F at (0.0000, 0.0921, 0.5000), F at (0.0000, 0.3231, 0.5000), F at (0.0000, 0.4081, 0.0000) and F at (0.0000, 0.5000, 0.5000).

The uncorrected formation energy is -161 kJ/mol of atoms. For the energy relative to the lowest polymorph listed for this composition, the calculation gives 7 meV per atom.

---

Entry from Alexandria: an optimized crystal structure of TlCu2F8 (PBE-GGA).

The space group is I422 (No. 97) and the conventional cell measures 5.4397, 5.4397 and 10.1079 Å, with angles of 90.00, 90.00 and 90.00 degrees. Symmetry generates all atoms from Tl at (0.0000, 0.0000, 0.0000), Cu at (0.0000, 0.5000, 0.2500) and F at (0.1624, 0.3160, 0.8760).

The uncorrected formation energy is -148 kJ/mol of atoms. For the energy relative to the lowest polymorph listed for this composition, the calculation gives 0 meV per atom.

---

> What is the energy relative to the lowest polymorph listed for this composition in the second record?

25 meV per atom

---

> The highest energy relative to the lowest polymorph listed for this composition belongs to which entry?

Tl3CuF